Arrangement 1

This record from Alexandria describes crystalline Li2AlBi2 at its relaxed geometry. The functional is PBE.

Calculated values
Total magnetic moment   0.0 μB per cell

abc: 4.656 4.656 6.909
angles: 70.31 70.31 90.00
Atoms (fractional coordinates):
Li 0.750 0.250 0.500
Li 0.250 0.750 0.500
Bi 0.381 0.381 0.237
Bi 0.619 0.619 0.763
Al 0.000 0.000 0.000

=====

Arrangement 2

This record from Alexandria describes crystalline Li2AlBi2 at its relaxed geometry. The functional is PBE.

Calculated values
Total magnetic moment   0.0 μB per cell

abc: 4.718 4.718 6.801
angles: 69.71 69.71 90.00
Atoms (fractional coordinates):
Li 0.609 0.609 0.781
Li 0.391 0.391 0.219
Bi 0.750 0.250 0.500
Bi 0.250 0.750 0.500
Al 0.000 0.000 0.000

=====

Name the most stable of them. arrangement 1.

=====

Arrangement 1

This record from Alexandria describes crystalline LiAlBi at its relaxed geometry. The functional is PBE.

Calculated values
Total magnetic moment   0.0 μB per cell

abc: 3.953 3.953 5.262
angles: 112.06 112.06 90.00
Atoms (fractional coordinates):
Bi 0.943 0.943 0.887
Li 0.612 0.612 0.224
Al 0.295 0.295 0.590

=====

Arrangement 2

This record from Alexandria describes crystalline LiAlBi at its relaxed geometry. The functional is PBE.

Calculated values
Total magnetic moment   0.0 μB per cell

abc: 3.745 4.686 4.686
angles: 120.00 90.00 90.00
Atoms (fractional coordinates):
Bi 0.642 0.667 0.333
Li 0.048 0.000 0.000
Al 0.310 0.333 0.667

=====

Arrangement 3

This record from Alexandria describes crystalline LiAlBi at its relaxed geometry. The functional is PBE.

Calculated values
Total magnetic moment   0.0 μB per cell

abc: 4.949 4.949 6.322
angles: 90.00 90.00 90.00
Atoms (fractional coordinates):
Li 0.000 0.500 0.778
Li 0.500 0.000 0.222
Al 0.500 0.500 0.500
Al 0.000 0.000 0.500
Bi 0.000 0.500 0.248
Bi 0.500 0.000 0.752

=====

Name the most stable of them. arrangement 3.